First-principles (PBE) data for a relaxed Er8TmIr6 crystal, as listed in Alexandria.

Lattice parameters (Å, degrees): 7.5964 7.5964 7.5964 65.37 65.37 65.37
Atoms (fractional coordinates):
Er 0.0554 0.3878 0.7209
Er 0.1667 0.1667 0.1667
Er 0.2791 0.9446 0.6122
Er 0.3878 0.7209 0.0554
Er 0.6122 0.2791 0.9446
Er 0.7209 0.0554 0.3878
Er 0.8333 0.8333 0.8333
Er 0.9446 0.6122 0.2791
Tm 0.5000 0.5000 0.5000
Ir 0.1104 0.7765 0.4435
Ir 0.2235 0.5565 0.8896
Ir 0.4435 0.1104 0.7765
Ir 0.5565 0.8896 0.2235
Ir 0.7765 0.4435 0.1104
Ir 0.8896 0.2235 0.5565

Summary:
For the volume, the calculation gives 346 Å³ per cell. The total energy comes out at -7.1188 eV per atom. For the formation energy, the calculation gives -0.843 eV/atom.



First-principles (PBE) data for a relaxed ErUIr2 crystal, as listed in Alexandria.

Lattice parameters (Å, degrees): 3.3763 3.3763 7.0043 90.00 90.00 90.00
Atoms (fractional coordinates):
Er 0.0000 0.0000 0.0000
U 0.0000 0.0000 0.5000
Ir 0.5000 0.5000 0.2612
Ir 0.5000 0.5000 0.7388

Summary:
For the volume, the calculation gives 80 Å³ per cell. The total energy comes out at -9.0376 eV per atom. For the formation energy, the calculation gives -0.644 eV/atom.



First-principles (PBE) data for a relaxed ErUIr4 crystal, as listed in Alexandria.

Lattice parameters (Å, degrees): 5.3385 5.3385 5.3385 60.00 60.00 60.00
Atoms (fractional coordinates):
Er 0.0000 0.0000 0.0000
U 0.2500 0.2500 0.2500
Ir 0.1241 0.6253 0.6253
Ir 0.6253 0.1241 0.6253
Ir 0.6253 0.6253 0.1241
Ir 0.6253 0.6253 0.6253

Summary:
For the volume, the calculation gives 108 Å³ per cell. The total energy comes out at -9.2120 eV per atom. For the formation energy, the calculation gives -0.663 eV/atom.



First-principles (PBE) data for a relaxed ErUIr crystal, as listed in Alexandria.

Lattice parameters (Å, degrees): 4.8892 4.8892 8.6298 106.65 106.65 42.95
Atoms (fractional coordinates):
Er 0.1780 0.1780 0.1266
Er 0.8220 0.8220 0.8734
U 0.3677 0.3677 0.5621
U 0.6323 0.6323 0.4379
Ir 0.0898 0.0898 0.7290
Ir 0.9102 0.9102 0.2710

Summary:
For the volume, the calculation gives 134 Å³ per cell. The total energy comes out at -8.6295 eV per atom. For the formation energy, the calculation gives -0.392 eV/atom.



First-principles (PBE) data for a relaxed Er2VIr crystal, as listed in Alexandria.

Lattice parameters (Å, degrees): 10.0278 10.0278 10.0278 18.85 18.85 18.85
Atoms (fractional coordinates):
Er 0.0965 0.0965 0.0965
Er 0.9035 0.9035 0.9035
V 0.0000 0.0000 0.0000
Ir 0.5000 0.5000 0.5000

Summary:
For the volume, the calculation gives 92 Å³ per cell. The total energy comes out at -6.4122 eV per atom. For the formation energy, the calculation gives 0.364 eV/atom.



First-principles (PBE) data for a relaxed Y3ErIr crystal, as listed in Alexandria.

Lattice parameters (Å, degrees): 7.6550 6.5176 6.1672 90.00 90.00 90.00
Atoms (fractional coordinates):
Y 0.0000 0.1544 0.0000
Y 0.2501 0.3114 0.5023
Y 0.2499 0.6886 0.0023
Y 0.5000 0.8456 0.5000
Y 0.7499 0.3114 0.5023
Y 0.7501 0.6886 0.0023
Er 0.0000 0.8457 0.5047
Er 0.5000 0.1543 0.0047
Ir 0.0000 0.5030 0.2546
Ir 0.5000 0.4970 0.7546

Summary:
For the volume, the calculation gives 308 Å³ per cell. The total energy comes out at -6.8957 eV per atom. For the energy above the most stable polymorph in this dataset, the calculation gives 0.00 eV per formula unit. For the formation energy, the calculation gives -0.333 eV/atom.



First-principles (PBE) data for a relaxed YEr4Ir4 crystal, as listed in Alexandria.

Lattice parameters (Å, degrees): 8.8296 8.8296 5.6163 90.00 90.00 90.00
Atoms (fractional coordinates):
Y 0.2500 0.2500 0.2500
Y 0.7500 0.7500 0.7500
Er 0.0793 0.6593 0.1391
Er 0.1593 0.9207 0.6391
Er 0.3407 0.5793 0.6391
Er 0.4207 0.8407 0.1391
Er 0.5793 0.1593 0.8609
Er 0.6593 0.4207 0.3609
Er 0.8407 0.0793 0.3609
Er 0.9207 0.3407 0.8609
Ir 0.0291 0.6182 0.6408
Ir 0.1182 0.9709 0.1408
Ir 0.3818 0.5291 0.1408
Ir 0.4709 0.8818 0.6408
Ir 0.5291 0.1182 0.3592
Ir 0.6182 0.4709 0.8592
Ir 0.8818 0.0291 0.8592
Ir 0.9709 0.3818 0.3592

Summary:
For the volume, the calculation gives 438 Å³ per cell. The total energy comes out at -7.3515 eV per atom. For the formation energy, the calculation gives -0.667 eV/atom.



First-principles (PBE) data for a relaxed Y2Er3Ir2 crystal, as listed in Alexandria.

Lattice parameters (Å, degrees): 6.2674 6.2674 8.7960 114.99 114.99 35.73
Atoms (fractional coordinates):
Y 0.1652 0.1652 0.3055
Y 0.8348 0.8348 0.6945
Er 0.3803 0.3803 0.0681
Er 0.5000 0.5000 0.5000
Er 0.6197 0.6197 0.9319
Ir 0.1742 0.1742 0.7361
Ir 0.8258 0.8258 0.2639

Summary:
For the volume, the calculation gives 181 Å³ per cell. The total energy comes out at -6.9855 eV per atom. For the formation energy, the calculation gives -0.651 eV/atom.